Entry 1:
An optimized crystal structure of TlCo2Mo, computed with PBE.

## Properties
Final energy (eV/atom): -6.366
DOS(E_F) (states/eV/atom): 1.189
Excess energy over the best structure of this formula in the dataset (meV per atom): 118.9

abc: 4.365 4.365 4.365
angles: 60.00 60.00 60.00
Fractional coordinates of all 4 atoms:
Tl: 0.500 0.500 0.500
Co: 0.250 0.250 0.250
Co: 0.750 0.750 0.750
Mo: 0.000 0.000 0.000


Entry 2:
An optimized crystal structure of TlCoMo2, computed with PBE.

## Properties
Final energy (eV/atom): -7.302
DOS(E_F) (states/eV/atom): 0.786
Excess energy over the best structure of this formula in the dataset (meV per atom): 32.1

abc: 2.826 2.826 8.133
angles: 90.00 90.00 90.00
Fractional coordinates of all 4 atoms:
Co: 0.500 0.500 0.776
Mo: 0.000 0.000 0.968
Mo: 0.500 0.500 0.233
Tl: 0.000 0.000 0.524


Entry 3:
An optimized crystal structure of TlCo2Mo, computed with PBE.

## Properties
Final energy (eV/atom): -6.292
DOS(E_F) (states/eV/atom): 1.008
Excess energy over the best structure of this formula in the dataset (meV per atom): 192.7

abc: 8.050 8.050 8.050
angles: 21.88 21.88 21.88
Fractional coordinates of all 4 atoms:
Co: 0.988 0.988 0.988
Co: 0.512 0.512 0.512
Mo: 0.250 0.250 0.250
Tl: 0.750 0.750 0.750


Entry 4:
An optimized crystal structure of TlCoMo2, computed with PBE.

## Properties
Final energy (eV/atom): -7.309
DOS(E_F) (states/eV/atom): 0.772
Excess energy over the best structure of this formula in the dataset (meV per atom): 25.2

abc: 2.837 2.837 8.320
angles: 90.00 90.00 102.57
Fractional coordinates of all 4 atoms:
Co: 0.500 0.500 0.775
Mo: 0.000 0.000 0.976
Mo: 0.500 0.500 0.228
Tl: 0.000 0.000 0.522


no.,size of the total moment (Bohr magnetons per cell),energy relative to the elements (kJ/mol of atoms)
1,3.0,46.9
2,0.2,46.4
3,0.0,54.0
4,0.0,45.8